#A
Computed, not measured: a relaxed La3Tb5Dy4 crystal at the PBE-GGA level of DFT.

Lattice parameters (Å, degrees): 7.1933 11.3835 12.9904 151.28 56.55 129.07
With the nearest neighbours (Å) after each atom.
Sites, in units of the cell vectors:
La1 0.5852 0.1677 0.3341  6 Dy 3.58-3.62, 5 Tb 3.60-3.62, 1 La 3.62
La2 0.4148 0.8323 0.6659  6 Dy 3.58-3.62, 5 Tb 3.60-3.62, 1 La 3.62
La3 0.0000 0.0000 0.5000  8 Tb 3.59-3.62, 2 Dy 3.61, 2 La 3.62
Tb1 0.3329 0.6685 0.8356  5 Dy 3.58-3.63, 3 Tb 3.59-3.62, 4 La 3.60-3.62
Tb2 0.6671 0.3315 0.1644  5 Dy 3.58-3.63, 3 Tb 3.59-3.62, 4 La 3.60-3.62
Tb3 0.2522 0.4980 0.9979  6 Tb 3.57-3.63, 3 Dy 3.58-3.60, 3 La 3.59-3.62
Tb4 0.5000 0.0000 0.5000  4 Tb 3.59-3.60, 4 Dy 3.59-3.61, 4 La 3.60
Tb5 0.7478 0.5020 0.0021  6 Tb 3.57-3.63, 3 Dy 3.58-3.60, 3 La 3.59-3.62
Dy1 0.1667 0.3342 0.1666  4 Dy 3.57-3.62, 5 Tb 3.59-3.60, 3 La 3.59-3.61
Dy2 0.0819 0.1628 0.3298  3 Dy 3.57-3.62, 4 La 3.58-3.62, 5 Tb 3.58-3.63
Dy3 0.8333 0.6658 0.8334  4 Dy 3.57-3.62, 5 Tb 3.59-3.60, 3 La 3.59-3.61
Dy4 0.9181 0.8372 0.6702  3 Dy 3.57-3.62, 4 La 3.58-3.62, 5 Tb 3.58-3.63

Crystal system: triclinic
V (Å³/cell): 396.8
Space-group type: No. 2
Size of the total moment (μB/cell): 0.0
DOS(E_F) (states/eV/f.u.): 17.4


#B
Computed, not measured: a relaxed La3Tb5Dy4 crystal at the PBE-GGA level of DFT.

Lattice parameters (Å, degrees): 5.7822 9.4278 9.7460 113.44 72.74 72.14
With the nearest neighbours (Å) after each atom.
Sites, in units of the cell vectors:
Tb1 0.3455 0.2482 0.0607  2 La 3.45-3.73, 4 Dy 3.54-3.56, 1 Tb 3.57
Tb2 0.6545 0.7518 0.9393  2 La 3.45-3.73, 4 Dy 3.54-3.56, 1 Tb 3.57
Tb3 0.7277 0.9335 0.6112  2 La 3.35-3.45, 1 Tb 3.57, 3 Dy 3.59-3.66
Tb4 0.2723 0.0665 0.3888  2 La 3.35-3.45, 1 Tb 3.57, 3 Dy 3.59-3.66
Tb5 0.5000 0.5000 0.5000  4 La 2.89-3.00, 2 Dy 3.01
La1 0.4577 0.3577 0.7270  2 Tb 3.00-3.35
La2 0.5423 0.6423 0.2730  2 Tb 3.00-3.35
La3 0.0000 0.5000 0.5000  2 Tb 2.89
Dy1 0.1611 0.8744 0.8033  1 Tb 3.01, 2 Dy 3.10-3.29
Dy2 0.9427 0.2645 0.8502  1 Dy 3.29, 3 La 3.38-3.55, 3 Tb 3.54-3.66
Dy3 0.8389 0.1256 0.1967  1 Tb 3.01, 2 Dy 3.10-3.29
Dy4 0.0573 0.7355 0.1498  1 Dy 3.29, 3 La 3.38-3.55, 3 Tb 3.54-3.66

Crystal system: monoclinic
V (Å³/cell): 407.2
Space-group type: No. 12
Size of the total moment (μB/cell): 0.4
DOS(E_F) (states/eV/f.u.): 17.5


Most stable = #A


#A
Computed, not measured: a relaxed La2Tb8Dy crystal at the PBE-GGA level of DFT.

Lattice parameters (Å, degrees): 5.0901 8.0402 9.5107 104.76 105.52 90.00
With the nearest neighbours (Å) after each atom.
Sites, in units of the cell vectors:
Tb1 0.9564 0.2722 0.9127  9 Tb 3.54-3.61, 2 Dy 3.58, 1 La 3.62
Tb2 0.5891 0.4527 0.1781  8 Tb 3.54-3.62, 1 Dy 3.57, 3 La 3.62-3.63
Tb3 0.0436 0.7278 0.0873  9 Tb 3.54-3.61, 2 Dy 3.58, 1 La 3.62
Tb4 0.8656 0.8246 0.7312  7 Tb 3.54-3.62, 2 Dy 3.56, 3 La 3.63-3.65
Tb5 0.4109 0.5473 0.8219  8 Tb 3.54-3.62, 1 Dy 3.57, 3 La 3.62-3.63
Tb6 0.1344 0.1754 0.2688  7 Tb 3.54-3.62, 2 Dy 3.56, 3 La 3.63-3.65
Tb7 0.6806 0.9068 0.3612  8 Tb 3.58-3.63, 1 Dy 3.58, 3 La 3.59-3.61
Tb8 0.3194 0.0932 0.6388  8 Tb 3.58-3.63, 1 Dy 3.58, 3 La 3.59-3.61
La1 0.2270 0.6372 0.4539  10 Tb 3.59-3.65, 2 La 3.61
La2 0.7730 0.3628 0.5461  10 Tb 3.59-3.65, 2 La 3.61
Dy1 0.5000 0.0000 0.0000  12 Tb 3.56-3.58

Crystal system: monoclinic
V (Å³/cell): 361.7
Space-group type: No. 12
Size of the total moment (μB/cell): 0.0
DOS(E_F) (states/eV/f.u.): 17.1


#B
Computed, not measured: a relaxed La2Tb8Dy crystal at the PBE-GGA level of DFT.

Lattice parameters (Å, degrees): 5.9479 9.0786 9.2665 60.67 74.80 57.65
With the nearest neighbours (Å) after each atom.
Sites, in units of the cell vectors:
Tb1 0.1717 0.9012 0.7722  3 Tb 3.25-3.49, 2 La 3.50-3.52
Tb2 0.5000 0.7927 0.4147  1 Dy 3.35, 2 La 3.37, 6 Tb 3.68-3.72
Tb3 0.5000 0.2073 0.5853  1 Dy 3.35, 2 La 3.37, 6 Tb 3.68-3.72
Tb4 0.1717 0.6734 0.2278  3 Tb 3.25-3.49, 2 La 3.50-3.52
Tb5 0.8283 0.3266 0.7722  3 Tb 3.25-3.49, 2 La 3.50-3.52
Tb6 0.8283 0.0988 0.2278  3 Tb 3.25-3.49, 2 La 3.50-3.52
Tb7 0.7025 0.5761 0.0000  4 Tb 3.03-3.36, 1 Dy 3.36
Tb8 0.2975 0.4239 0.0000  4 Tb 3.03-3.36, 1 Dy 3.36
La1 0.0000 0.6946 0.6109  8 Tb 3.37-3.52
La2 0.0000 0.3054 0.3891  8 Tb 3.37-3.52
Dy1 0.5000 0.0000 0.0000  4 Tb 3.35-3.36

Crystal system: monoclinic
V (Å³/cell): 368.5
Space-group type: No. 12
Size of the total moment (μB/cell): 0.0
DOS(E_F) (states/eV/f.u.): 14.9


Most stable = #A


#A
Computed, not measured: a relaxed LaTb4Dy3 crystal at the PBE-GGA level of DFT.

Lattice parameters (Å, degrees): 3.4502 6.7387 15.2919 131.39 96.48 90.00
With the nearest neighbours (Å) after each atom.
Sites, in units of the cell vectors:
La1 0.5000 0.0000 0.0000  4 Tb 3.35-3.36, 2 La 3.45
Tb1 0.3736 0.8786 0.7472  4 Tb 3.26-3.48, 1 La 3.35, 3 Dy 3.49-3.51
Tb2 0.6264 0.1214 0.2528  4 Tb 3.26-3.48, 1 La 3.35, 3 Dy 3.49-3.51
Tb3 0.3735 0.3621 0.7470  4 Tb 3.26-3.48, 1 La 3.36, 3 Dy 3.49-3.50
Tb4 0.6265 0.6379 0.2530  4 Tb 3.26-3.48, 1 La 3.36, 3 Dy 3.49-3.50
Dy1 0.2402 0.2208 0.4803  6 Dy 3.45-3.82, 6 Tb 3.49-3.51
Dy2 0.7598 0.7792 0.5197  6 Dy 3.45-3.82, 6 Tb 3.49-3.51
Dy3 0.0000 0.5000 0.0000  2 Dy 3.45, 8 Tb 3.72, 4 La 3.79

Crystal system: orthorhombic
V (Å³/cell): 263.7
Space-group type: No. 71
Size of the total moment (μB/cell): 0.0
DOS(E_F) (states/eV/f.u.): 15.1


#B
Computed, not measured: a relaxed LaTb4Dy3 crystal at the PBE-GGA level of DFT.

Lattice parameters (Å, degrees): 6.3091 7.3111 11.4077 90.00 90.00 90.00
With the nearest neighbours (Å) after each atom.
Sites, in units of the cell vectors:
Dy1 0.4812 0.3739 0.7508  6 Tb 3.55-3.67, 2 La 3.55, 4 Dy 3.55-3.65
Dy2 0.9812 0.6261 0.2508  6 Tb 3.55-3.67, 2 La 3.55, 4 Dy 3.55-3.65
Dy3 0.9812 0.6261 0.7492  6 Tb 3.55-3.67, 2 La 3.55, 4 Dy 3.55-3.65
Dy4 0.4812 0.3739 0.2492  6 Tb 3.55-3.67, 2 La 3.55, 4 Dy 3.55-3.65
Dy5 0.1482 0.3728 0.5000  6 Tb 3.52-3.69, 4 Dy 3.55, 2 La 3.64-3.67
Dy6 0.6482 0.6272 0.0000  6 Tb 3.52-3.69, 4 Dy 3.55, 2 La 3.64-3.67
La1 0.6448 0.6253 0.5000  6 Dy 3.55-3.67, 6 Tb 3.57-3.68
La2 0.1448 0.3747 0.0000  6 Dy 3.55-3.67, 6 Tb 3.57-3.68
Tb1 0.1471 0.8752 0.0000  6 Tb 3.53-3.65, 4 Dy 3.55-3.64, 2 La 3.65-3.66
Tb2 0.9819 0.1242 0.2525  6 Tb 3.51-3.64, 5 Dy 3.52-3.67, 1 La 3.57
Tb3 0.1490 0.8771 0.5000  6 Tb 3.51-3.65, 4 Dy 3.55-3.69, 2 La 3.63-3.68
Tb4 0.6490 0.1229 0.0000  6 Tb 3.51-3.65, 4 Dy 3.55-3.69, 2 La 3.63-3.68
Tb5 0.9819 0.1242 0.7475  6 Tb 3.51-3.64, 5 Dy 3.52-3.67, 1 La 3.57
Tb6 0.4819 0.8758 0.7525  6 Tb 3.51-3.64, 5 Dy 3.52-3.67, 1 La 3.57
Tb7 0.6471 0.1248 0.5000  6 Tb 3.53-3.65, 4 Dy 3.55-3.64, 2 La 3.65-3.66
Tb8 0.4819 0.8758 0.2475  6 Tb 3.51-3.64, 5 Dy 3.52-3.67, 1 La 3.57

Crystal system: orthorhombic
V (Å³/cell): 526.2
Space-group type: No. 31
Size of the total moment (μB/cell): 0.0
DOS(E_F) (states/eV/f.u.): 13.3


Most stable = #B


#A
Computed, not measured: a relaxed La2TbDy7 crystal at the PBE-GGA level of DFT.

Lattice parameters (Å, degrees): 3.5165 14.8741 14.8741 154.47 90.00 90.00
With the nearest neighbours (Å) after each atom.
Sites, in units of the cell vectors:
Dy1 0.5000 0.8520 0.6577  7 Dy 3.22-3.52, 1 La 3.58
Dy2 0.5000 0.6577 0.8520  7 Dy 3.22-3.52, 1 La 3.58
Dy3 0.0000 0.8161 0.1839  6 Dy 3.47-3.52, 6 La 3.64-3.78
Dy4 0.5000 0.3423 0.1480  7 Dy 3.22-3.52, 1 La 3.58
Dy5 0.0000 0.1839 0.8161  6 Dy 3.47-3.52, 6 La 3.64-3.78
Dy6 0.5000 0.1480 0.3423  7 Dy 3.22-3.52, 1 La 3.58
Dy7 0.5000 0.5000 0.5000  6 Dy 3.28-3.52
Tb1 0.0000 0.0000 0.0000  2 Tb 3.52, 12 Dy 3.69-3.73
La1 0.5000 0.2938 0.7062  2 La 3.52, 8 Dy 3.58-3.78
La2 0.5000 0.7062 0.2938  2 La 3.52, 8 Dy 3.58-3.78

Crystal system: orthorhombic
V (Å³/cell): 335.3
Space-group type: No. 65
Size of the total moment (μB/cell): 0.0
DOS(E_F) (states/eV/f.u.): 17.6


#B
Computed, not measured: a relaxed La2TbDy7 crystal at the PBE-GGA level of DFT.

Lattice parameters (Å, degrees): 6.2003 10.7176 11.3074 137.33 122.88 39.90
With the nearest neighbours (Å) after each atom.
Sites, in units of the cell vectors:
La1 0.5974 0.6002 0.3985  10 Dy 3.57-3.62, 1 Tb 3.59, 1 La 3.63
La2 0.4026 0.3998 0.6015  10 Dy 3.57-3.62, 1 Tb 3.59, 1 La 3.63
Dy1 0.5000 0.5000 0.0000  8 Dy 3.56-3.59, 2 La 3.57, 2 Tb 3.58
Dy2 0.2029 0.2025 0.8038  9 Dy 3.54-3.62, 1 Tb 3.57, 2 La 3.61-3.62
Dy3 0.8990 0.9023 0.6026  1 Tb 3.57, 7 Dy 3.57-3.63, 4 La 3.57-3.60
Dy4 0.7971 0.7975 0.1962  9 Dy 3.54-3.62, 1 Tb 3.57, 2 La 3.61-3.62
Dy5 0.7023 0.7023 0.8032  7 Dy 3.54-3.63, 2 Tb 3.56-3.59, 3 La 3.59-3.61
Dy6 0.1010 0.0977 0.3974  1 Tb 3.57, 7 Dy 3.57-3.63, 4 La 3.57-3.60
Dy7 0.2977 0.2977 0.1968  7 Dy 3.54-3.63, 2 Tb 3.56-3.59, 3 La 3.59-3.61
Tb1 0.0000 0.0000 0.0000  10 Dy 3.56-3.59, 2 La 3.59

Crystal system: triclinic
V (Å³/cell): 326.3
Space-group type: No. 2
Size of the total moment (μB/cell): 0.0
DOS(E_F) (states/eV/f.u.): 14.0


Most stable = #B